DFT (GGA-PBE) results for a geometry-optimized KCaAsSe2 structure.

## Properties
The space group is P4/mmm (123). The uncorrected formation energy comes out at 1.54 eV per formula unit. The value obtained for the electronic total energy is -2.64 eV per atom. The calculation puts the energy relative to the lowest polymorph listed for this composition at 0.649 eV per atom. The total moment is 0.000 μB/cell.

abc: 5.583 5.583 5.289
angles: 90.00 90.00 90.00
Sites, in units of the cell vectors:
1 K 0.000 0.000 0.000
2 Ca 0.500 0.500 0.500
3 As 0.000 0.000 0.500
4 Se 0.000 0.500 0.000
5 Se 0.500 0.000 0.000